## LaTi2Si (PBE)

Data for an optimized crystal structure of LaTi2Si.

a = 4.2516 Å, b = 4.2516 Å, c = 9.8523 Å
α = 77.54°, β = 77.54°, γ = 90.00°
Fractional coordinates of all 8 atoms:
Si  0.5000  0.5000  0.0000
Si  0.2500  0.7500  0.5000
La  0.0000  0.0000  0.0000
La  0.7500  0.2500  0.5000
Ti  0.1685  0.1250  0.2500
Ti  0.3750  0.8315  0.7500
Ti  0.5815  0.6250  0.2500
Ti  0.8750  0.4185  0.7500

Calculated values
E_form (uncorrected) ... 0.1432 eV/atom
Symmetry ... I-42d, No. 122